No. 1
# HfIn (GGA-PBE, relaxed)
# E_form (eV per atom): 0.158
# Density (Mg/m³): 10.3
# Magnetic moment (μB/cell): 0.000
data_HfIn
_cell_length_a 3.1376
_cell_length_b 5.1395
_cell_length_c 5.8543
_cell_angle_alpha 90.00
_cell_angle_beta 90.00
_cell_angle_gamma 90.00
_symmetry_space_group_name_H-M 'I m m m'
_symmetry_Int_Tables_number 71
_symmetry_space_group_name_Hall '-I 2 2'
loop_
_atom_site_label
_atom_site_type_symbol
_atom_site_fract_x
_atom_site_fract_y
_atom_site_fract_z
Hf1 Hf 0.0000 0.0000 0.0000
In1 In 0.0000 0.0000 0.5000



No. 2
# HfIn2 (GGA-PBE, relaxed)
# E_form (eV per atom): -0.123
# Density (Mg/m³): 10.1
# Magnetic moment (μB/cell): 0.000
data_HfIn2
_cell_length_a 6.2725
_cell_length_b 4.2612
_cell_length_c 10.0138
_cell_angle_alpha 90.00
_cell_angle_beta 90.00
_cell_angle_gamma 90.00
_symmetry_space_group_name_H-M 'P n m a'
_symmetry_Int_Tables_number 62
loop_
_symmetry_equiv_pos_as_xyz
'x,y,z'
'-x,-y,-z'
'-x+1/2,-y,z+1/2'
'x+1/2,y,-z+1/2'
'x+1/2,-y+1/2,-z+1/2'
'-x+1/2,y+1/2,z+1/2'
'-x,y+1/2,-z'
'x,-y+1/2,z'
loop_
_atom_site_label
_atom_site_type_symbol
_atom_site_fract_x
_atom_site_fract_y
_atom_site_fract_z
Hf1 Hf 0.1132 0.2500 0.0987
In1 In 0.1225 0.2500 0.4312
In2 In 0.1509 0.2500 0.7668